Record 1
Below is a geometry-optimized CeAg2 structure, with properties calculated at the PBE level.

Properties
calculated volume: 22.56 Å³/atom
Fermi-level density of states: 14.94 states/eV/cell
DFT formation energy: -0.05 eV per atom

The structure in extended XYZ format:
```
6
Lattice="0.000 4.075 4.075 4.075 0.000 4.075 4.075 4.075 0.000" Properties=species:S:1:pos:R:3 pbc="T T T"
Ce 1.019 1.019 1.019
Ce 7.131 7.131 7.131
Ag 4.075 2.038 2.038
Ag 2.038 4.075 2.038
Ag 2.038 2.038 4.075
Ag 4.075 4.075 4.075
```


Record 2
Below is a geometry-optimized Ce3Ag structure, with properties calculated at the PBE level.

Properties
calculated volume: 26.36 Å³/atom
Fermi-level density of states: 13.69 states/eV/cell
DFT formation energy: 0.11 eV per atom

The structure in extended XYZ format:
```
4
Lattice="4.725 0.000 0.000 0.000 4.725 0.000 0.000 0.000 4.725" Properties=species:S:1:pos:R:3 pbc="T T T"
Ce 0.000 0.000 2.362
Ce 0.000 2.362 0.000
Ce 2.362 0.000 0.000
Ag 2.362 2.362 2.362
```


Record 3
Below is a geometry-optimized Ce3Ag structure, with properties calculated at the PBE level.

Properties
calculated volume: 25.17 Å³/atom
Fermi-level density of states: 54.69 states/eV/cell
DFT formation energy: 0.09 eV per atom

The structure in extended XYZ format:
```
16
Lattice="7.385 0.000 0.000 0.000 7.385 0.000 0.000 0.000 7.385" Properties=species:S:1:pos:R:3 pbc="T T T"
Ce 0.000 0.000 0.000
Ce 0.000 3.693 3.693
Ce 1.846 1.846 1.846
Ce 1.846 1.846 5.539
Ce 1.846 5.539 1.846
Ce 1.846 5.539 5.539
Ce 3.693 0.000 3.693
Ce 3.693 3.693 0.000
Ce 5.539 1.846 1.846
Ce 5.539 1.846 5.539
Ce 5.539 5.539 1.846
Ce 5.539 5.539 5.539
Ag 0.000 0.000 3.693
Ag 0.000 3.693 0.000
Ag 3.693 0.000 0.000
Ag 3.693 3.693 3.693
```


Record 4
Below is a geometry-optimized CeAg4 structure, with properties calculated at the PBE level.

Properties
calculated volume: 34.77 Å³/atom
Fermi-level density of states: 9.63 states/eV/cell
DFT formation energy: 1.15 eV per atom

The structure in extended XYZ format:
```
5
Lattice="5.581 0.000 0.000 0.000 5.581 0.000 0.000 0.000 5.581" Properties=species:S:1:pos:R:3 pbc="T T T"
Ce 0.000 0.000 0.000
Ag 0.000 0.000 2.791
Ag 0.000 2.791 0.000
Ag 2.791 0.000 0.000
Ag 2.791 2.791 2.791
```


Record 5
Below is a geometry-optimized Ce3Ag structure, with properties calculated at the PBE level.

Properties
calculated volume: 25.71 Å³/atom
Fermi-level density of states: 41.22 states/eV/cell
DFT formation energy: 0.05 eV per atom

The structure in extended XYZ format:
```
16
Lattice="8.139 0.000 0.000 0.000 9.228 0.000 -0.469 0.000 5.476" Properties=species:S:1:pos:R:3 pbc="T T T"
Ce -0.089 0.000 1.398
Ce 1.123 2.739 1.663
Ce 1.123 6.490 1.663
Ce 2.478 1.876 3.813
Ce 2.478 7.353 3.813
Ce 3.689 4.614 4.077
Ce 3.981 4.614 1.398
Ce 5.192 1.876 1.663
Ce 5.192 7.353 1.663
Ce 6.547 2.739 3.813
Ce 6.547 6.490 3.813
Ce 7.759 0.000 4.077
Ag 0.735 4.614 4.591
Ag 2.865 0.000 0.884
Ag 4.805 0.000 4.591
Ag 6.935 4.614 0.884
```


Record 6
Below is a geometry-optimized CeAg3 structure, with properties calculated at the PBE level.

Properties
calculated volume: 22.38 Å³/atom
Fermi-level density of states: 33.55 states/eV/cell
DFT formation energy: -0.12 eV per atom

The structure in extended XYZ format:
```
16
Lattice="4.556 0.000 0.000 0.000 10.513 0.000 0.000 0.000 7.477" Properties=species:S:1:pos:R:3 pbc="T T T"
Ce 0.000 0.838 1.869
Ce 0.000 9.675 5.608
Ce 2.278 4.418 5.608
Ce 2.278 6.095 1.869
Ag 0.000 2.231 5.608
Ag 0.000 3.907 0.422
Ag 0.000 3.907 3.316
Ag 0.000 6.606 4.160
Ag 0.000 6.606 7.055
Ag 0.000 8.282 1.869
Ag 2.278 1.350 4.160
Ag 2.278 1.350 7.055
Ag 2.278 3.026 1.869
Ag 2.278 7.487 5.608
Ag 2.278 9.163 0.422
Ag 2.278 9.163 3.316
```